No. 1
The following is a GGA-PBE calculation of a relaxed structure of GaOs3O, from the Alexandria database.

As for the total magnetization: 0.99 μB per atom. As for the uncorrected formation energy: 2.733 eV per atom. The raw total energy comes out at -28.0 eV for the cell shown. The density of states at the Fermi level is 5.4 states/eV/cell.

It has space group Pm-3m (No. 221), with a = 4.5612 Å, b = 4.5612 Å, c = 4.5612 Å, α = 90.00°, β = 90.00° and γ = 90.00°. Symmetry generates all atoms from Ga at (0.0000, 0.0000, 0.0000), Os at (0.0000, 0.0000, 0.5000) and O at (0.5000, 0.5000, 0.5000).

***

No. 2
The following is a GGA-PBE calculation of a relaxed structure of PrDyErAg, from the Alexandria database.

As for the total magnetization: 0.00 μB per atom. The raw total energy comes out at -66.2 eV for the cell shown. The value obtained for the formation energy is 0.062 eV/atom. The density of states at the Fermi level is 15.1 states/eV/cell.

It has space group F-43m (No. 216), with a = 7.6898 Å, b = 7.6898 Å, c = 7.6898 Å, α = 90.00°, β = 90.00° and γ = 90.00°. Symmetry generates all atoms from Pr at (0.0000, 0.0000, 0.0000), Dy at (0.0000, 0.0000, 0.5000), Er at (0.2500, 0.2500, 0.2500) and Ag at (0.2500, 0.2500, 0.7500).

***

No. 3
The following is a GGA-PBE calculation of a relaxed structure of La2MoRu, from the Alexandria database.

As for the total magnetization: 0.00 μB per atom. The raw total energy comes out at -56.4 eV for the cell shown. The value obtained for the formation energy is 0.441 eV/atom. The density of states at the Fermi level is 7.3 states/eV/cell.

It has space group C2/m (No. 12), with a = 6.4421 Å, b = 9.1597 Å, c = 3.2430 Å, α = 90.00°, β = 114.69° and γ = 90.00°. Symmetry generates all atoms from La at (0.2500, 0.2500, 0.0000), Mo at (0.0000, 0.0000, 0.5000) and Ru at (0.0000, 0.5000, 0.5000).

***

No. 4
The following is a GGA-PBE calculation of a relaxed structure of ScAgSn2Se4, from the Alexandria database.

As for the total magnetization: 0.00 μB per atom. As for the uncorrected formation energy: -0.688 eV per atom. The raw total energy comes out at -36.6 eV for the cell shown. The density of states at the Fermi level is 0.4 states/eV/cell.

It has space group P2/m (No. 10), with a = 7.1300 Å, b = 4.0973 Å, c = 7.2206 Å, α = 90.00°, β = 109.41° and γ = 90.00°. Symmetry generates all atoms from Sc at (0.0000, 0.0000, 0.0000), Ag at (0.5000, 0.5000, 0.0000), Sn at (0.0000, 0.5000, 0.5000), Sn at (0.5000, 0.0000, 0.5000), Se at (0.2301, 0.5000, 0.2280) and Se at (0.2459, 0.0000, 0.7734).

***

No. 5
The following is a GGA-PBE calculation of a relaxed structure of HgAs3Rh, from the Alexandria database.

As for the total magnetization: 0.00 μB per atom. The raw total energy comes out at -19.4 eV for the cell shown. The value obtained for the formation energy is 0.431 eV/atom. The density of states at the Fermi level is 4.4 states/eV/cell.

It has space group Pm-3m (No. 221), with a = 4.8707 Å, b = 4.8707 Å, c = 4.8707 Å, α = 90.00°, β = 90.00° and γ = 90.00°. Symmetry generates all atoms from Hg at (0.0000, 0.0000, 0.0000), As at (0.0000, 0.5000, 0.5000) and Rh at (0.5000, 0.5000, 0.5000).

***

No. 6
The following is a GGA-PBE calculation of a relaxed structure of AgP3, from the Alexandria database.

As for the total magnetization: 0.00 μB per atom. The raw total energy comes out at -17.4 eV for the cell shown. The value obtained for the formation energy is 0.420 eV/atom. The density of states at the Fermi level is 1.3 states/eV/cell.

It has space group P2/m (No. 10), with a = 3.4064 Å, b = 4.7396 Å, c = 4.9268 Å, α = 90.00°, β = 90.51° and γ = 90.00°. Symmetry generates all atoms from Ag at (0.0000, 0.0000, 0.0000), P at (0.0000, 0.0000, 0.5000) and P at (0.2445, 0.5000, 0.3565).

***

No. 7
The following is a GGA-PBE calculation of a relaxed structure of Sc4AlCr, from the Alexandria database.

As for the total magnetization: 0.67 μB per atom. The raw total energy comes out at -144.4 eV for the cell shown. The value obtained for the formation energy is 0.431 eV/atom. The density of states at the Fermi level is 18.3 states/eV/cell.

It has space group F-43m (No. 216), with a = 8.0773 Å, b = 8.0773 Å, c = 8.0773 Å, α = 90.00°, β = 90.00° and γ = 90.00°. Symmetry generates all atoms from Sc at (0.1252, 0.1252, 0.1252), Al at (0.2500, 0.2500, 0.7500) and Cr at (0.0000, 0.0000, 0.5000).

***

No. 8
The following is a GGA-PBE calculation of a relaxed structure of Co4Bi, from the Alexandria database.

As for the total magnetization: 1.24 μB per atom. The raw total energy comes out at -22.8 eV for the cell shown. The value obtained for the formation energy is 1.907 eV/atom. The density of states at the Fermi level is 11.3 states/eV/cell.

It has space group Pm-3m (No. 221), with a = 4.7258 Å, b = 4.7258 Å, c = 4.7258 Å, α = 90.00°, β = 90.00° and γ = 90.00°. Symmetry generates all atoms from Co at (0.0000, 0.0000, 0.0000), Co at (0.0000, 0.5000, 0.5000) and Bi at (0.5000, 0.5000, 0.5000).

***

What is the raw total energy in the eighth record? -22.8 eV for the cell shown

***

Which value of raw total energy does entry 6 give? -17.4 eV for the cell shown